Computed, not measured: a geometry-optimized Cu3ReHg structure at the PBE level of DFT.

Computed properties:
ρ, g/cm³: 9.074
Space-group type: Pm-3m, No. 221
Density of states at the Fermi level, states/eV/cell: 2.63
Excess energy over the best structure of this formula in the dataset, kJ/mol of formula units: 180
ΔE_f, eV/atom: 1.8104
VASP energy, eV/cell: -16.0

abc: 4.728 4.728 4.728
angles: 90.00 90.00 90.00
Element x y z (fractional)
Cu: 0.000 0.000 0.500
Cu: 0.000 0.500 0.000
Cu: 0.500 0.000 0.000
Re: 0.500 0.500 0.500
Hg: 0.000 0.000 0.000

***

Computed, not measured: a geometry-optimized TaSe4I structure at the PBE level of DFT.

Computed properties:
ρ, g/cm³: 5.203
Space-group type: C2/c, No. 15
Density of states at the Fermi level, states/eV/cell: 0.50
Uncorrected formation energy, eV/atom: -0.470
VASP energy, eV/cell: -60.3

abc: 8.148 8.148 6.475
angles: 101.46 101.46 102.46
Element x y z (fractional)
Ta: 0.000 0.000 0.250
Ta: 0.000 0.000 0.750
Se: 0.090 0.279 0.592
Se: 0.113 0.791 0.976
Se: 0.209 0.887 0.524
Se: 0.279 0.090 0.092
Se: 0.721 0.910 0.908
Se: 0.791 0.113 0.476
Se: 0.887 0.209 0.024
Se: 0.910 0.721 0.408
I: 0.492 0.508 0.250
I: 0.508 0.492 0.750

***

Computed, not measured: a geometry-optimized LaTmHf structure at the PBE level of DFT.

Computed properties:
ρ, g/cm³: 9.283
Space-group type: I4mm, No. 107
Density of states at the Fermi level, states/eV/cell: 4.49
Excess energy over the best structure of this formula in the dataset, kJ/mol of formula units: 0
ΔE_f, eV/atom: 0.1411
VASP energy, eV/cell: -18.9

abc: 8.100 8.100 8.100
angles: 156.12 156.12 34.02
Element x y z (fractional)
La: 0.000 0.000 0.000
Tm: 0.309 0.309 0.000
Hf: 0.666 0.666 0.000

***

Computed, not measured: a geometry-optimized Th6InPb10 structure at the PBE level of DFT.

Computed properties:
ρ, g/cm³: 11.430
Space-group type: P-31m, No. 162
Density of states at the Fermi level, states/eV/cell: 13.40
ΔE_f, eV/atom: -0.1822
VASP energy, eV/cell: -87.4

abc: 9.623 9.623 6.484
angles: 90.00 90.00 120.00
Element x y z (fractional)
Th: 0.000 0.385 0.261
Th: 0.000 0.615 0.739
Th: 0.385 0.000 0.261
Th: 0.385 0.385 0.739
Th: 0.615 0.000 0.739
Th: 0.615 0.615 0.261
In: 0.000 0.000 0.500
Pb: 0.000 0.263 0.779
Pb: 0.000 0.737 0.221
Pb: 0.263 0.000 0.779
Pb: 0.263 0.263 0.221
Pb: 0.333 0.667 0.000
Pb: 0.333 0.667 0.500
Pb: 0.667 0.333 0.000
Pb: 0.667 0.333 0.500
Pb: 0.737 0.000 0.221
Pb: 0.737 0.737 0.779

***

Computed, not measured: a geometry-optimized Cu2TeAs structure at the PBE level of DFT.

Computed properties:
ρ, g/cm³: 6.756
Space-group type: I-42d, No. 122
Density of states at the Fermi level, states/eV/cell: 3.92
Uncorrected formation energy, eV/atom: 0.080
Excess energy over the best structure of this formula in the dataset, kJ/mol of formula units: 8
VASP energy, eV/cell: -31.3

abc: 8.226 8.226 8.226
angles: 147.28 147.28 46.95
Element x y z (fractional)
Cu: 0.053 0.625 0.928
Cu: 0.375 0.303 0.428
Cu: 0.697 0.125 0.072
Cu: 0.875 0.947 0.572
Te: 0.250 0.750 0.500
Te: 0.500 0.500 0.000
As: 0.000 0.000 0.000
As: 0.750 0.250 0.500

***

Computed, not measured: a geometry-optimized MgCdSn structure at the PBE level of DFT.

Computed properties:
ρ, g/cm³: 5.942
Space-group type: P-1, No. 2
Density of states at the Fermi level, states/eV/cell: 2.46
ΔE_f, eV/atom: -0.0343
VASP energy, eV/cell: -13.2

abc: 4.385 4.531 7.507
angles: 89.97 73.19 89.98
Element x y z (fractional)
Mg: 0.085 0.251 0.331
Mg: 0.915 0.749 0.669
Cd: 0.252 0.750 0.997
Cd: 0.748 0.250 0.003
Sn: 0.414 0.249 0.673
Sn: 0.586 0.751 0.327